Record 1
VASP calculation (PBE) on Ce2Sm6Er3Tm after structural relaxation.

Energy of formation from the pure elements = 0.053 eV/atom

a b c (Å): 6.184 6.184 11.805
angles (deg): 95.02 95.02 120.01
Atoms (fractional coordinates):
Ce 0.167 0.833 0.000
Ce 0.833 0.167 0.000
Sm 0.081 0.416 0.750
Sm 0.249 0.249 0.250
Sm 0.416 0.081 0.750
Sm 0.584 0.919 0.250
Sm 0.751 0.751 0.750
Sm 0.919 0.584 0.250
Er 0.000 0.000 0.500
Er 0.334 0.666 0.500
Er 0.666 0.334 0.500
Tm 0.500 0.500 0.000

***

Record 2
VASP calculation (PBE) on NiIr2Os after structural relaxation.

Energy of formation from the pure elements = 1.109 eV/atom

a b c (Å): 6.311 6.311 6.311
angles (deg): 125.97 125.97 79.94
Atoms (fractional coordinates):
Ni 0.000 0.000 0.000
Ni 0.750 0.250 0.500
Ir 0.121 0.625 0.996
Ir 0.375 0.371 0.496
Ir 0.629 0.125 0.004
Ir 0.875 0.879 0.504
Os 0.250 0.750 0.500
Os 0.500 0.500 0.000

***

Record 3
VASP calculation (PBE) on CsRb3Pb after structural relaxation.

Energy of formation from the pure elements = 0.586 eV/atom

a b c (Å): 7.831 7.831 7.831
angles (deg): 90.00 90.00 90.00
Atoms (fractional coordinates):
Cs 0.000 0.000 0.000
Rb 0.000 0.000 0.500
Rb 0.000 0.500 0.000
Rb 0.500 0.000 0.000
Pb 0.500 0.500 0.500

***

Record 4
VASP calculation (PBE) on Cs3NdTm3Te8 after structural relaxation.

Uncorrected formation energy = -19.64 eV per formula unit

a b c (Å): 8.849 8.849 10.502
angles (deg): 114.96 114.96 59.97
Atoms (fractional coordinates):
Cs 0.000 0.000 0.000
Cs 0.000 0.500 0.000
Cs 0.500 0.000 0.000
Nd 0.000 0.000 0.500
Tm 0.000 0.500 0.500
Tm 0.500 0.000 0.500
Tm 0.500 0.500 0.500
Te 0.237 0.237 0.692
Te 0.237 0.718 0.692
Te 0.271 0.271 0.312
Te 0.282 0.763 0.308
Te 0.718 0.237 0.692
Te 0.729 0.729 0.688
Te 0.763 0.282 0.308
Te 0.763 0.763 0.308

***

Record 5
VASP calculation (PBE) on ScTi2Fe2 after structural relaxation.

Energy of formation from the pure elements = -0.092 eV/atom

a b c (Å): 5.856 5.856 5.856
angles (deg): 140.66 140.66 56.85
Atoms (fractional coordinates):
Sc 0.000 0.000 0.000
Ti 0.250 0.750 0.500
Ti 0.750 0.250 0.500
Fe 0.394 0.394 0.000
Fe 0.606 0.606 0.000

***

Record 6
VASP calculation (PBE) on Th3Sb2N after structural relaxation.

Uncorrected formation energy = -5.55 eV per formula unit

a b c (Å): 7.173 7.173 6.456
angles (deg): 90.00 90.00 76.24
Atoms (fractional coordinates):
Th 0.156 0.844 0.750
Th 0.341 0.341 0.000
Th 0.341 0.341 0.500
Th 0.659 0.659 0.000
Th 0.659 0.659 0.500
Th 0.844 0.156 0.250
Sb 0.042 0.680 0.250
Sb 0.320 0.958 0.250
Sb 0.680 0.042 0.750
Sb 0.958 0.320 0.750
N 0.422 0.578 0.750
N 0.578 0.422 0.250

***

no.,density (Mg/m³),spin magnetization (μB per cell),VASP energy (eV/atom)
1,8.0,2.16,-4.8091
2,13.2,0.00,-7.5743
3,2.1,1.98,-0.9068
4,5.5,0.00,-4.3677
5,5.2,0.00,-7.9015
6,9.8,0.00,-7.3958